Entry 1:
This record from Alexandria via LeMat-Bulk describes an optimized crystal structure of Li2Ag2Cl5. The functional is GGA-PBE.

Results
Its magnetic moment is 0.00 μB per atom. The value obtained for the formation energy from raw total energies is -0.986 eV/atom.

abc: 18.5356 6.4200 7.3795
angles: 90.00 90.00 90.00
Space group Ima2 (No. 46)
Symmetry-distinct sites (fractional):
1 Li 0.1309 0.0236 0.0000 x8
2 Ag 0.0000 0.0000 0.3372 x4
3 Ag 0.2500 0.5204 0.8567 x4
4 Cl 0.0452 0.7457 0.5824 x8
5 Cl 0.1326 0.1768 0.3070 x8
6 Cl 0.2500 0.6128 0.4754 x4

---

Entry 2:
This record from Alexandria via LeMat-Bulk describes an optimized crystal structure of Li2AgCl. The functional is GGA-PBE.

Results
For the energy above the most stable polymorph in this dataset, the calculation gives 160 meV/atom. Its magnetic moment is 0.00 μB per atom. The value obtained for the formation energy from raw total energies is -0.652 eV/atom.

abc: 3.4642 7.4568 7.5674
angles: 90.00 90.00 90.00
Space group Immm (No. 71)
Symmetry-distinct sites (fractional):
1 Li 0.0000 0.2146 0.0000 x4
2 Ag 0.0000 0.0000 0.5000 x2
3 Cl 0.0000 0.5000 0.5000 x2

---

Entry 3:
This record from Alexandria via LeMat-Bulk describes an optimized crystal structure of LiAg2Cl5. The functional is GGA-PBE.

Results
Its magnetic moment is 0.00 μB per atom. The value obtained for the formation energy from raw total energies is -0.638 eV/atom.

abc: 10.6038 10.8060 7.8604
angles: 90.00 90.00 90.00
Space group Pnnm (No. 58)
Symmetry-distinct sites (fractional):
1 Li 0.2247 0.2480 0.0000 x4
2 Ag 0.0000 0.0000 0.2535 x4
3 Ag 0.1273 0.3694 0.5000 x4
4 Cl 0.1048 0.6040 0.5000 x4
5 Cl 0.1125 0.2036 0.2542 x8
6 Cl 0.1464 0.9059 0.0000 x4
7 Cl 0.1599 0.9316 0.5000 x4

---

Entry 4:
This record from Alexandria via LeMat-Bulk describes an optimized crystal structure of LiAg4Cl7. The functional is GGA-PBE.

Results
Its magnetic moment is 0.01 μB per atom. The value obtained for the formation energy from raw total energies is -0.596 eV/atom.

abc: 3.6859 6.5537 13.0938
angles: 102.60 90.01 106.33
Space group P1 (No. 1)
Symmetry-distinct sites (fractional):
1 Li 0.0000 0.0000 0.0000 x1
2 Ag 0.1714 0.3380 0.4605 x1
3 Ag 0.2324 0.4634 0.8864 x1
4 Ag 0.4604 0.9168 0.6087 x1
5 Ag 0.8179 0.6348 0.1835 x1
6 Cl 0.0896 0.1750 0.6884 x1
7 Cl 0.2233 0.4456 0.2583 x1
8 Cl 0.4253 0.8491 0.1100 x1
9 Cl 0.5326 0.0604 0.4151 x1
10 Cl 0.6294 0.2585 0.9766 x1
11 Cl 0.8153 0.6264 0.5375 x1
12 Cl 0.8586 0.7149 0.8449 x1

---

Entry 5:
This record from Alexandria via LeMat-Bulk describes an optimized crystal structure of LiAg2Cl6. The functional is GGA-PBE.

Results
For the energy above the most stable polymorph in this dataset, the calculation gives 0 meV/atom. Its magnetic moment is 0.00 μB per atom. The value obtained for the formation energy from raw total energies is -0.580 eV/atom.

abc: 6.4017 5.7804 12.8445
angles: 90.00 106.39 90.00
Space group P2_1/c (No. 14)
Symmetry-distinct sites (fractional):
1 Li 0.0000 0.0000 0.0000 x2
2 Ag 0.3369 0.0328 0.8305 x4
3 Cl 0.0529 0.7186 0.3483 x4
4 Cl 0.2972 0.2362 0.9858 x4
5 Cl 0.3795 0.6851 0.1748 x4

---

Entry 6:
This record from Alexandria via LeMat-Bulk describes an optimized crystal structure of LiAg2Cl6. The functional is GGA-PBE.

Results
For the energy above the most stable polymorph in this dataset, the calculation gives 39 meV/atom. Its magnetic moment is 0.34 μB per atom. The value obtained for the formation energy from raw total energies is -0.541 eV/atom.

abc: 6.4999 6.4999 6.0712
angles: 90.00 90.00 120.00
Space group P-31m (No. 162)
Symmetry-distinct sites (fractional):
1 Li 0.0000 0.0000 0.0000 x1
2 Ag 0.3333 0.6667 0.0000 x2
3 Cl 0.0000 0.3334 0.7691 x6

---

Entry 7:
This record from Alexandria via LeMat-Bulk describes an optimized crystal structure of Li2Ag2Cl7. The functional is GGA-PBE.

Results
Its magnetic moment is 0.00 μB per atom. The value obtained for the formation energy from raw total energies is -0.754 eV/atom.

abc: 7.4832 11.4764 6.7310
angles: 90.00 90.84 90.00
Space group C2/m (No. 12)
Symmetry-distinct sites (fractional):
1 Li 0.0000 0.1854 0.0000 x4
2 Ag 0.2259 0.0000 0.6894 x4
3 Cl 0.0000 0.5000 0.5000 x2
4 Cl 0.0876 0.0000 0.2300 x4
5 Cl 0.2420 0.2033 0.7611 x8

---

Entry 8:
This record from Alexandria via LeMat-Bulk describes an optimized crystal structure of LiAgCl3. The functional is GGA-PBE.

Results
For the energy above the most stable polymorph in this dataset, the calculation gives 223 meV/atom. Its magnetic moment is 0.19 μB per atom. The value obtained for the formation energy from raw total energies is -0.678 eV/atom.

abc: 6.8672 6.8672 9.6770
angles: 90.00 90.00 120.00
Space group R3m (No. 160, hexagonal axes)
Symmetry-distinct sites (fractional):
1 Li 0.0000 0.0000 0.0000 x3
2 Ag 0.0000 0.0000 0.6762 x3
3 Cl 0.1707 0.3415 0.8254 x9

---

Entry 9:
This record from Alexandria via LeMat-Bulk describes an optimized crystal structure of Li2AgCl. The functional is GGA-PBE.

Results
For the energy above the most stable polymorph in this dataset, the calculation gives 0 meV/atom. Its magnetic moment is 0.00 μB per atom. The value obtained for the formation energy from raw total energies is -0.812 eV/atom.

abc: 3.5205 3.3088 6.5781
angles: 90.00 92.69 90.00
Space group P2/m (No. 10)
Symmetry-distinct sites (fractional):
1 Li 0.0211 0.0000 0.2453 x2
2 Ag 0.5000 0.5000 0.0000 x1
3 Cl 0.0000 0.5000 0.5000 x1

---

Entry 10:
This record from Alexandria via LeMat-Bulk describes an optimized crystal structure of LiAg3Cl. The functional is GGA-PBE.

Results
For the energy above the most stable polymorph in this dataset, the calculation gives 0 meV/atom. Its magnetic moment is 0.00 μB per atom. The value obtained for the formation energy from raw total energies is 0.372 eV/atom.

abc: 4.7085 4.7085 4.7085
angles: 90.00 90.00 90.00
Space group Pm-3m (No. 221)
Symmetry-distinct sites (fractional):
1 Li 0.0000 0.0000 0.0000 x1
2 Ag 0.0000 0.0000 0.5000 x3
3 Cl 0.5000 0.5000 0.5000 x1

---

Entry 11:
This record from Alexandria via LeMat-Bulk describes an optimized crystal structure of Li2AgCl. The functional is GGA-PBE.

Results
For the energy above the most stable polymorph in this dataset, the calculation gives 150 meV/atom. Its magnetic moment is 0.00 μB per atom. The value obtained for the formation energy from raw total energies is -0.662 eV/atom.

abc: 3.5871 3.5871 13.6699
angles: 90.00 90.00 90.00
Space group I-4m2 (No. 119)
Symmetry-distinct sites (fractional):
1 Li 0.0000 0.0000 0.0000 x2
2 Li 0.0000 0.5000 0.2500 x2
3 Ag 0.0000 0.5000 0.7500 x2
4 Cl 0.0000 0.0000 0.5000 x2

---

Entry 12:
This record from Alexandria via LeMat-Bulk describes an optimized crystal structure of Li4AgCl. The functional is GGA-PBE.

Results
Its magnetic moment is 0.12 μB per atom. The value obtained for the formation energy from raw total energies is -0.107 eV/atom.

abc: 7.8168 7.8168 7.8168
angles: 90.00 90.00 90.00
Space group F-43m (No. 216)
Symmetry-distinct sites (fractional):
1 Li 0.1245 0.1245 0.1245 x16
2 Ag 0.2500 0.2500 0.7500 x4
3 Cl 0.0000 0.0000 0.5000 x4